No. 1
La3CoSn: relaxed, PBE.

abc: 6.8465 5.5609 7.7976
angles: 90.00 90.00 90.00
Space group Pmma (No. 51)
Asymmetric unit:
La (0.0000, 0.0000, 0.0000)
La (0.2500, 0.0000, 0.4005)
La (0.2500, 0.5000, 0.7339)
Co (0.2500, 0.0000, 0.7291)
Sn (0.2500, 0.5000, 0.1755)

Calculated values
- VASP energy (eV/atom) = -5.5741
- polymorph energy (0 for the lowest one) (meV/atom) = 52.1
- crystal system = orthorhombic

No. 2
LiMgV: relaxed, PBE.

abc: 4.2678 4.2678 10.8691
angles: 90.00 90.00 120.00
Space group P6_3/mmc (No. 194)
Asymmetric unit:
Li (0.3333, 0.6667, 0.2500)
Mg (0.0000, 0.0000, 0.2500)
V (0.0000, 0.0000, 0.0000)

Calculated values
- VASP energy (eV/atom) = -2.7046
- polymorph energy (0 for the lowest one) (meV/atom) = 1286.3
- crystal system = hexagonal

| no. | DFT formation energy (eV per formula unit) |
| --- | --- |
| 1 | -1.979 |
| 2 | 4.513 |